Record 1
Compound: Mg2InSn4
Source: Alexandria via LeMat-Bulk
Functional: GGA-PBE
Structure: optimized geometry

a b c (Å): 6.541 10.151 11.309
angles (deg): 90.00 90.00 90.00
Space group Fmmm (No. 69)
Symmetry-distinct sites (fractional):
Mg  0.000  0.000  0.216
In  0.000  0.000  0.500
Sn  0.000  0.189  0.000
Sn  0.250  0.250  0.250

Results
Its size of the total moment is 0.00 μB per formula unit. For the total energy, the calculation gives -3.113 eV per atom. For the density of states at the Fermi level, the calculation gives 11.92 states/eV per cell. For the formation energy, the calculation gives 21.1 meV/atom.


Record 2
Compound: Pr3Ir
Source: Alexandria via LeMat-Bulk
Functional: GGA-PBE
Structure: optimized geometry

a b c (Å): 3.671 3.779 9.547
angles (deg): 90.00 90.00 90.00
Space group Pmm2 (No. 25)
Symmetry-distinct sites (fractional):
Pr  0.000  0.000  0.000
Pr  0.000  0.500  0.346
Pr  0.500  0.500  0.709
Ir  0.500  0.000  0.484

Results
Its size of the total moment is 0.00 μB per formula unit. For the total energy, the calculation gives -5.871 eV per atom. For the density of states at the Fermi level, the calculation gives 5.21 states/eV per cell. For the formation energy, the calculation gives -71.2 meV/atom.


Record 3
Compound: SbIr2Br
Source: Alexandria via LeMat-Bulk
Functional: GGA-PBE
Structure: optimized geometry

a b c (Å): 4.087 3.745 6.726
angles (deg): 90.00 99.28 90.00
Space group Pm (No. 6)
Symmetry-distinct sites (fractional):
Sb  0.000  0.000  0.000
Ir  0.507  0.000  0.295
Ir  0.937  0.500  0.253
Br  0.387  0.500  0.548

Results
Its energy above the lowest structure with this stoichiometry is 0.0 meV/atom. Its size of the total moment is 0.00 μB per formula unit. For the total energy, the calculation gives -5.533 eV per atom. For the density of states at the Fermi level, the calculation gives 1.52 states/eV per cell.


Record 4
Compound: MgVTc2I
Source: Alexandria via LeMat-Bulk
Functional: GGA-PBE
Structure: optimized geometry

a b c (Å): 4.603 4.603 5.195
angles (deg): 90.00 90.00 90.00
Space group P4/mmm (No. 123)
Symmetry-distinct sites (fractional):
Mg  0.000  0.000  0.000
V  0.500  0.500  0.500
Tc  0.000  0.500  0.500
I  0.500  0.500  0.000

Results
Its size of the total moment is 2.08 μB per formula unit. For the total energy, the calculation gives -5.430 eV per atom. For the density of states at the Fermi level, the calculation gives 5.02 states/eV per cell.


Record 5
Compound: NiMo2W
Source: Alexandria via LeMat-Bulk
Functional: GGA-PBE
Structure: optimized geometry

a b c (Å): 2.645 4.393 5.215
angles (deg): 90.00 100.04 90.00
Space group P2/m (No. 10)
Symmetry-distinct sites (fractional):
Ni  0.000  0.000  0.000
Mo  0.264  0.500  0.755
W  0.500  0.000  0.500

Results
Its energy above the lowest structure with this stoichiometry is 101.9 meV/atom. Its size of the total moment is 0.00 μB per formula unit. For the total energy, the calculation gives -9.949 eV per atom. For the density of states at the Fermi level, the calculation gives 4.27 states/eV per cell. For the formation energy, the calculation gives 150.3 meV/atom.


Record 6
Compound: Ta6FeMo3
Source: Alexandria via LeMat-Bulk
Functional: GGA-PBE
Structure: optimized geometry

a b c (Å): 7.881 4.559 9.653
angles (deg): 90.00 105.96 90.00
Space group P2_1/m (No. 11)
Symmetry-distinct sites (fractional):
Ta  0.044  0.250  0.398
Ta  0.145  0.750  0.194
Ta  0.259  0.250  0.997
Ta  0.350  0.250  0.297
Ta  0.353  0.750  0.809
Ta  0.446  0.250  0.605
Fe  0.451  0.750  0.097
Mo  0.051  0.750  0.901
Mo  0.154  0.250  0.703
Mo  0.254  0.750  0.500

Results
Its size of the total moment is 0.00 μB per formula unit. For the total energy, the calculation gives -11.342 eV per atom. For the density of states at the Fermi level, the calculation gives 10.61 states/eV per cell. For the formation energy, the calculation gives -134.7 meV/atom.


Record 7
Compound: Pr6TePb2Se3
Source: Alexandria via LeMat-Bulk
Functional: GGA-PBE
Structure: optimized geometry

a b c (Å): 19.298 4.440 8.876
angles (deg): 90.00 102.87 90.00
Space group C2/m (No. 12)
Symmetry-distinct sites (fractional):
Pr  0.002  0.000  0.235
Pr  0.164  0.500  0.090
Pr  0.171  0.500  0.579
Te  0.000  0.500  0.500
Pb  0.166  0.000  0.832
Se  0.000  0.500  0.000
Se  0.166  0.000  0.334

Results
Its size of the total moment is 0.00 μB per formula unit. For the total energy, the calculation gives -5.494 eV per atom. For the density of states at the Fermi level, the calculation gives 10.50 states/eV per cell.


Record 8
Compound: CeHO
Source: Alexandria via LeMat-Bulk
Functional: GGA-PBE
Structure: optimized geometry

a b c (Å): 5.524 5.524 5.524
angles (deg): 90.00 90.00 90.00
Space group F-43m (No. 216)
Symmetry-distinct sites (fractional):
Ce  0.000  0.000  0.000
H  0.250  0.250  0.750
O  0.250  0.250  0.250

Results
Its energy above the lowest structure with this stoichiometry is 0.0 meV/atom. Its size of the total moment is 1.01 μB per formula unit. For the total energy, the calculation gives -6.858 eV per atom. For the density of states at the Fermi level, the calculation gives 21.62 states/eV per cell.